# 1
Computed, not measured: crystalline SrNi2Te at its relaxed geometry at the GGA-PBE level of DFT.

Output
* formation energy without anion corrections: 0.906 eV/f.u.
* space group: F-43m, No. 216
* energy: -15.480 eV/f.u.
* magnetic moment: 0.073 μB/atom
* V: 20.7 Å³ per atom

Lattice parameters (Å, degrees): 4.891 4.891 4.891 60.00 60.00 60.00
Each line ends with the local moment (μB).
Fractional positions:
1 Ni 0.000 0.000 0.000  0.07
2 Ni 0.250 0.250 0.250  0.24
3 Sr 0.500 0.500 0.500  0.00
4 Te 0.750 0.750 0.750  0.01

---

# 2
Computed, not measured: crystalline Li2ThPt4 at its relaxed geometry at the GGA-PBE level of DFT.

Output
* space group: Immm, No. 71
* energy: -40.924 eV/f.u.
* magnetic moment: 0.000 μB/atom
* V: 17.5 Å³ per atom
* formation energy: -788 meV/atom

Lattice parameters (Å, degrees): 5.506 5.190 5.506 118.16 102.58 61.84
Fractional positions:
1 Li 0.500 0.750 0.500
2 Li 0.500 0.250 0.500
3 Th 0.000 0.000 0.000
4 Pt 0.594 0.703 0.001
5 Pt 0.406 0.297 0.999
6 Pt 0.001 0.297 0.594
7 Pt 0.999 0.703 0.406

---

# 3
Computed, not measured: crystalline VTc3Pt at its relaxed geometry at the GGA-PBE level of DFT.

Output
* space group: Pm-3m, No. 221
* energy: -40.589 eV/f.u.
* magnetic moment: 0.000 μB/atom
* V: 17.0 Å³ per atom
* formation energy: 1134 meV/atom

Lattice parameters (Å, degrees): 4.394 4.394 4.394 90.00 90.00 90.00
Fractional positions:
1 Tc 0.000 0.500 0.000
2 Tc 0.000 0.000 0.500
3 Tc 0.500 0.000 0.000
4 Pt 0.500 0.500 0.500
5 V 0.000 0.000 0.000

---

# 4
Computed, not measured: crystalline Ta6GaGe at its relaxed geometry at the GGA-PBE level of DFT.

Output
* space group: P-1, No. 2
* energy: -79.716 eV/f.u.
* magnetic moment: 0.000 μB/atom
* V: 17.4 Å³ per atom
* formation energy: -120 meV/atom

Lattice parameters (Å, degrees): 7.367 7.365 5.189 44.71 44.78 59.82
Fractional positions:
1 Ta 0.009 0.499 0.743
2 Ta 0.750 0.004 0.746
3 Ta 0.499 0.251 0.258
4 Ta 0.250 0.996 0.254
5 Ta 0.991 0.501 0.257
6 Ta 0.501 0.749 0.742
7 Ga 0.000 0.000 0.000
8 Ge 0.500 0.500 0.500